{
  "formula": "InSbBr2",
  "functional": "PBE",
  "state": "optimized geometry",
  "formation_energy_uncorrected_ev_per_atom": -0.16,
  "sg": "R3m, No. 160",
  "lattice": [[10.1063, -0.0780, -0.0460], [9.4330, 3.6280, -0.0460], [9.4330, 1.7138, 3.1980]],
  "species": ["Sb", "Br", "Br", "In"],
  "fractional_positions": [[0.7540, 0.7540, 0.7540], [0.0132, 0.0132, 0.0132], [0.2322, 0.2322, 0.2322], [0.5006, 0.5006, 0.5006]]
}